Entry 1:
Density functional theory data (PBE) for an optimized crystal structure of Ce2ZnIr2.

Values from the calculation:
- Total DFT energy (no corrections): -68.5 eV per cell
- Crystal system: monoclinic
- Space-group type: No. 15

POSCAR file:
```
Ce2ZnIr2
1.0
-0.9509 2.8084 4.8462
-3.4203 -1.9717 4.0855
4.8568 -3.4041 5.6239
Ce Zn Ir
4 2 4
Direct
0.5094 0.1971 0.1488
0.8029 0.4906 0.3512
0.4906 0.8029 0.8512
0.1971 0.5094 0.6488
0.1458 0.8542 0.2500
0.8542 0.1458 0.7500
0.7166 0.0175 0.5245
0.9825 0.2834 0.9755
0.2834 0.9825 0.4755
0.0175 0.7166 0.0245
```

***

Entry 2:
Density functional theory data (PBE) for an optimized crystal structure of Hg2Ge2Se5.

Values from the calculation:
- E_form (uncorrected): -0.090 eV per atom
- Crystal system: monoclinic
- Space-group type: No. 12

POSCAR file:
```
Hg2Ge2Se5
1.0
0.4926 2.5457 -2.7455
-3.0209 -4.3615 -4.5860
-10.5023 0.3478 1.0355
Hg Ge Se
2 2 5
Direct
0.5628 0.5098 0.1257
0.4372 0.4902 0.8743
0.8739 0.1326 0.7478
0.1261 0.8674 0.2522
0.6693 0.0091 0.3385
0.3307 0.9909 0.6615
0.8373 0.4897 0.6747
0.1627 0.5103 0.3253
0.0000 0.0000 0.0000
```

***

Entry 3:
Density functional theory data (PBE) for an optimized crystal structure of Np2B2OsRu5.

Values from the calculation:
- Total DFT energy (no corrections): -197.3 eV per cell
- Crystal system: tetragonal
- Space-group type: No. 127

POSCAR file:
```
Np2B2OsRu5
1.0
-2.2752 1.4572 1.2748
-5.9519 -3.0589 -7.1263
-2.1707 -7.9671 5.2327
Np B Os Ru
4 4 2 10
Direct
0.0000 0.6800 0.1800
0.0000 0.3200 0.8200
0.0000 0.1800 0.3200
0.0000 0.8200 0.6800
0.0000 0.1184 0.6184
0.0000 0.8816 0.3816
0.0000 0.6184 0.8816
0.0000 0.3816 0.1184
0.0000 0.0000 0.0000
0.0000 0.5000 0.5000
0.5000 0.2241 0.0693
0.5000 0.7759 0.9307
0.5000 0.0693 0.7759
0.5000 0.7241 0.4307
0.5000 0.9307 0.2241
0.5000 0.2759 0.5693
0.5000 0.5693 0.7241
0.5000 0.4307 0.2759
0.5000 0.5000 0.0000
0.5000 0.0000 0.5000
```

***

Entry 4:
Density functional theory data (PBE) for an optimized crystal structure of Tb9PmTm2.

Values from the calculation:
- Crystal system: hexagonal
- Space-group type: No. 191
- Polymorph energy (0 for the lowest one): 16.3 meV per atom

POSCAR file:
```
Tb9PmTm2
1.0
3.5060 0.0000 0.0000
0.0000 11.2414 0.0000
0.0000 -5.6207 9.7353
Tb Pm Tm
9 1 2
Direct
0.0000 0.0000 0.5000
0.0000 0.5000 0.5000
0.0000 0.5000 0.0000
0.5000 0.3557 0.1778
0.5000 0.1778 0.8222
0.5000 0.1778 0.3557
0.5000 0.8222 0.6443
0.5000 0.8222 0.1778
0.5000 0.6443 0.8222
0.0000 0.0000 0.0000
0.0000 0.3333 0.6667
0.0000 0.6667 0.3333
```

***

Entry 5:
Density functional theory data (PBE) for an optimized crystal structure of GaBi2F.

Values from the calculation:
- E_form (uncorrected): -0.569 eV per atom
- Crystal system: cubic
- Space-group type: No. 225
- Polymorph energy (0 for the lowest one): 0.0 meV per atom

POSCAR file:
```
GaBi2F
1.0
0.0000 3.5184 3.5184
3.5184 0.0000 3.5184
3.5184 3.5184 0.0000
Bi Ga F
2 1 1
Direct
0.2500 0.2500 0.2500
0.7500 0.7500 0.7500
0.5000 0.5000 0.5000
0.0000 0.0000 0.0000
```

***

Entry 6:
Density functional theory data (PBE) for an optimized crystal structure of SnMoPb3.

Values from the calculation:
- Crystal system: cubic
- Space-group type: No. 221
- Polymorph energy (0 for the lowest one): 762.3 meV per atom

POSCAR file:
```
SnMoPb3
1.0
5.7487 0.0000 0.0000
0.0000 5.7487 0.0000
0.0000 0.0000 5.7487
Pb Mo Sn
3 1 1
Direct
0.0000 0.5000 0.0000
0.0000 0.0000 0.5000
0.5000 0.0000 0.0000
0.5000 0.5000 0.5000
0.0000 0.0000 0.0000
```

***

Entry 7:
Density functional theory data (PBE) for an optimized crystal structure of Zr2Si2Ag.

Values from the calculation:
- E_form (uncorrected): -0.634 eV per atom
- Crystal system: tetragonal
- Space-group type: No. 127
- Polymorph energy (0 for the lowest one): 0.0 meV per atom

POSCAR file:
```
Zr2Si2Ag
1.0
-6.7549 0.5313 -0.2601
0.1761 -1.0404 -6.6981
-0.3227 -3.8171 0.5844
Si Zr Ag
4 4 2
Direct
0.3775 0.8775 0.0000
0.8775 0.6225 0.0000
0.6225 0.1225 0.0000
0.1225 0.3775 0.0000
0.1773 0.6773 0.5000
0.6773 0.8227 0.5000
0.8227 0.3227 0.5000
0.3227 0.1773 0.5000
0.0000 0.0000 0.0000
0.5000 0.5000 0.0000
```

***

Entry 8:
Density functional theory data (PBE) for an optimized crystal structure of AcTeAs2Pd5.

Values from the calculation:
- E_form (uncorrected): -0.482 eV per atom
- Crystal system: tetragonal
- Space-group type: No. 123

POSCAR file:
```
AcTeAs2Pd5
1.0
-3.9143 1.3789 -1.4536
-1.1623 -4.1613 -0.8177
-3.8439 -0.8096 9.5831
Ac Te As Pd
1 1 2 5
Direct
0.0000 0.0000 0.5000
0.0000 0.0000 0.0000
0.5000 0.5000 0.2708
0.5000 0.5000 0.7292
0.0000 0.5000 0.1585
0.5000 0.0000 0.1585
0.0000 0.5000 0.8415
0.5000 0.0000 0.8415
0.5000 0.5000 0.5000
```

***

Entry 9:
Density functional theory data (PBE) for an optimized crystal structure of TmHfGaIr.

Values from the calculation:
- Total DFT energy (no corrections): -28.8 eV per cell
- Crystal system: cubic
- Space-group type: No. 216

POSCAR file:
```
TmHfGaIr
1.0
4.7836 0.0000 0.0000
2.3918 4.1428 0.0000
2.3918 1.3809 3.9058
Tm Ir Hf Ga
1 1 1 1
Direct
0.5000 0.5000 0.5000
0.2500 0.2500 0.2500
0.0000 0.0000 0.0000
0.7500 0.7500 0.7500
```

***

Entry 10:
Density functional theory data (PBE) for an optimized crystal structure of La4SmTm3.

Values from the calculation:
- Total DFT energy (no corrections): -75.2 eV per cell
- Crystal system: orthorhombic
- Space-group type: No. 59

POSCAR file:
```
La4SmTm3
1.0
-3.7340 -2.3984 2.6081
6.1484 -0.6924 8.1659
-3.4696 9.0793 3.3822
Tm Sm La
6 2 8
Direct
0.5644 0.6170 0.0000
0.0644 0.6157 0.2502
0.5644 0.3843 0.2498
0.0644 0.3830 0.5000
0.5644 0.3843 0.7502
0.0644 0.6157 0.7498
0.0644 0.3846 0.0000
0.5644 0.6154 0.5000
0.0644 0.8699 0.0000
0.5644 0.1280 0.0000
0.0644 0.1276 0.2500
0.5644 0.8724 0.2500
0.0644 0.8720 0.5000
0.5644 0.1301 0.5000
0.5644 0.8724 0.7500
0.0644 0.1276 0.7500
```

***

Entry 11:
Density functional theory data (PBE) for an optimized crystal structure of ZnS2BrN.

Values from the calculation:
- E_form (uncorrected): 1.189 eV per atom
- Crystal system: tetragonal
- Space-group type: No. 123
- Polymorph energy (0 for the lowest one): 0.0 meV per atom

POSCAR file:
```
ZnS2BrN
1.0
4.9356 0.0000 0.0000
0.0000 4.9356 0.0000
0.0000 0.0000 3.8569
Zn S Br N
1 2 1 1
Direct
0.0000 0.0000 0.0000
0.0000 0.5000 0.0000
0.5000 0.0000 0.0000
0.5000 0.5000 0.5000
0.0000 0.0000 0.5000
```